# PBE+U MnVP2O, relaxed
data_MnVP2O
_symmetry_space_group_name_H-M 'P 1'
_symmetry_Int_Tables_number 1
_cell_length_a 4.6652
_cell_length_b 4.6652
_cell_length_c 3.5826
_cell_angle_alpha 90.00
_cell_angle_beta 90.00
_cell_angle_gamma 90.00
loop_
_symmetry_equiv_pos_as_xyz
'x,y,z'
loop_
_atom_site_label
_atom_site_type_symbol
_atom_site_fract_x
_atom_site_fract_y
_atom_site_fract_z
Mn1 Mn 0.0000 0.0000 0.0000
O1 O 0.0000 0.0000 0.5000
P1 P 0.0000 0.5000 0.0000
P2 P 0.5000 0.0000 0.0000
V1 V 0.5000 0.5000 0.5000
# * D(E_F): 0.422 states/eV per atom
# * E: -5.6209 eV/atom